(1)
A plane-wave DFT calculation with PBE was carried out for an optimized crystal structure of HfZn2Au2.

Cell: 7.071 7.071 7.071 Å, 149.53 149.53 43.63°
Element x y z (fractional)
Hf  0.000  0.000  0.000
Zn  0.250  0.750  0.500
Zn  0.750  0.250  0.500
Au  0.396  0.396  0.000
Au  0.604  0.604  0.000

Output
* formation energy: -1.2 eV/f.u.
* DFT total energy: -4.054 eV per atom
* volume: 18.1 Å³/atom

***

(2)
A plane-wave DFT calculation with PBE was carried out for an optimized crystal structure of SiP2Ru.

Cell: 4.316 4.316 3.018 Å, 90.00 90.00 104.84°
Element x y z (fractional)
Si  0.000  0.000  0.000
P  0.000  0.500  0.500
P  0.500  0.000  0.500
Ru  0.500  0.500  0.000

Output
* DFT total energy: -6.117 eV per atom
* volume: 13.6 Å³/atom
* uncorrected formation energy: 101 kJ/mol of formula units

***

(3)
A plane-wave DFT calculation with PBE was carried out for an optimized crystal structure of PmHfZnGa.

Cell: 4.925 4.925 4.925 Å, 60.00 60.00 60.00°
Element x y z (fractional)
Pm  0.000  0.000  0.000
Hf  0.500  0.500  0.500
Zn  0.250  0.250  0.250
Ga  0.750  0.750  0.750

Output
* formation energy: -1.1 eV/f.u.
* DFT total energy: -5.034 eV per atom
* volume: 21.1 Å³/atom

***

(4)
A plane-wave DFT calculation with PBE was carried out for an optimized crystal structure of PmBRh6.

Cell: 5.723 5.723 5.723 Å, 59.14 59.14 59.14°
Element x y z (fractional)
Pm  0.000  0.000  0.000
B  0.500  0.500  0.500
Rh  0.066  0.600  0.600
Rh  0.400  0.400  0.934
Rh  0.400  0.934  0.400
Rh  0.600  0.066  0.600
Rh  0.600  0.600  0.066
Rh  0.934  0.400  0.400

Output
* formation energy: -1.5 eV/f.u.
* DFT total energy: -7.135 eV per atom
* volume: 16.2 Å³/atom

***

(5)
A plane-wave DFT calculation with PBE was carried out for an optimized crystal structure of Nd2Dy3Ho3.

Cell: 6.412 6.412 6.412 Å, 85.82 85.82 85.82°
Element x y z (fractional)
Nd  0.249  0.249  0.249
Nd  0.751  0.751  0.751
Dy  0.000  0.766  0.234
Dy  0.234  0.000  0.766
Dy  0.766  0.234  0.000
Ho  0.267  0.500  0.733
Ho  0.500  0.733  0.267
Ho  0.733  0.267  0.500

Output
* formation energy: 1.8 eV/f.u.
* DFT total energy: -4.413 eV per atom
* volume: 32.7 Å³/atom

***

(6)
A plane-wave DFT calculation with PBE was carried out for an optimized crystal structure of VBP2S.

Cell: 4.559 4.559 4.442 Å, 90.00 90.00 90.00°
Element x y z (fractional)
V  0.000  0.000  0.000
B  0.500  0.500  0.500
P  0.000  0.500  0.000
P  0.500  0.000  0.000
S  0.000  0.000  0.500

Output
* DFT total energy: -5.097 eV per atom
* volume: 18.5 Å³/atom
* uncorrected formation energy: 507 kJ/mol of formula units

***

(7)
A plane-wave DFT calculation with PBE was carried out for an optimized crystal structure of Ta2ZnOs.

Cell: 2.995 2.995 7.308 Å, 90.00 90.00 90.00°
Element x y z (fractional)
Ta  0.000  0.000  0.239
Ta  0.000  0.000  0.761
Zn  0.500  0.500  0.500
Os  0.500  0.500  0.000

Output
* formation energy: -0.3 eV/f.u.
* DFT total energy: -9.129 eV per atom
* volume: 16.4 Å³/atom

***

(8)
A plane-wave DFT calculation with PBE was carried out for an optimized crystal structure of PmHo2Sc.

Cell: 11.423 11.423 11.423 Å, 17.74 17.74 17.74°
Element x y z (fractional)
Pm  0.000  0.000  0.000
Ho  0.246  0.246  0.246
Ho  0.421  0.421  0.421
Sc  0.834  0.834  0.834

Output
* formation energy: 0.2 eV/f.u.
* DFT total energy: -5.016 eV per atom
* volume: 30.2 Å³/atom

***

(9)
A plane-wave DFT calculation with PBE was carried out for an optimized crystal structure of TaBeB2.

Cell: 6.722 6.722 6.722 Å, 149.24 149.24 44.06°
Element x y z (fractional)
Ta  0.000  0.000  0.000
Ta  0.750  0.250  0.500
Be  0.250  0.750  0.500
Be  0.500  0.500  0.000
B  0.315  0.625  0.190
B  0.375  0.565  0.690
B  0.435  0.125  0.810
B  0.875  0.685  0.310

Output
* formation energy: 0.7 eV/f.u.
* DFT total energy: -7.047 eV per atom
* volume: 9.9 Å³/atom

***

(10)
A plane-wave DFT calculation with PBE was carried out for an optimized crystal structure of CsSmGeS4.

Cell: 6.597 6.829 9.543 Å, 90.00 108.01 90.00°
Element x y z (fractional)
Cs  0.234  0.250  0.437
Cs  0.766  0.750  0.563
Sm  0.275  0.250  0.953
Sm  0.725  0.750  0.047
Ge  0.278  0.750  0.163
Ge  0.722  0.250  0.837
S  0.070  0.750  0.931
S  0.079  0.750  0.311
S  0.495  0.503  0.804
S  0.495  0.997  0.804
S  0.505  0.003  0.196
S  0.505  0.497  0.196
S  0.921  0.250  0.689
S  0.930  0.250  0.069

Output
* DFT total energy: -5.090 eV per atom
* volume: 29.2 Å³/atom
* uncorrected formation energy: -862 kJ/mol of formula units

***

(11)
A plane-wave DFT calculation with PBE was carried out for an optimized crystal structure of Er2MgScBi4.

Cell: 7.563 4.356 7.688 Å, 90.00 109.62 90.00°
Element x y z (fractional)
Er  0.000  0.000  0.000
Er  0.000  0.500  0.500
Mg  0.500  0.000  0.500
Sc  0.500  0.500  0.000
Bi  0.261  0.000  0.757
Bi  0.262  0.500  0.252
Bi  0.738  0.500  0.748
Bi  0.739  0.000  0.243

Output
* formation energy: -4.4 eV/f.u.
* DFT total energy: -4.617 eV per atom
* volume: 29.8 Å³/atom

***

(12)
A plane-wave DFT calculation with PBE was carried out for an optimized crystal structure of CoOs2N.

Cell: 5.868 5.868 5.868 Å, 129.75 129.75 73.81°
Element x y z (fractional)
Co  0.000  0.000  0.000
Co  0.750  0.250  0.500
Os  0.187  0.625  0.062
Os  0.375  0.437  0.562
Os  0.563  0.125  0.938
Os  0.875  0.813  0.438
N  0.250  0.750  0.500
N  0.500  0.500  0.000

Output
* DFT total energy: -8.533 eV per atom
* volume: 14.6 Å³/atom
* uncorrected formation energy: 363 kJ/mol of formula units

***

(13)
A plane-wave DFT calculation with PBE was carried out for an optimized crystal structure of Tb2MgHg.

Cell: 5.263 3.791 10.657 Å, 90.00 90.00 90.00°
Element x y z (fractional)
Tb  0.250  0.000  0.117
Tb  0.250  0.000  0.625
Tb  0.750  0.000  0.375
Tb  0.750  0.000  0.883
Mg  0.250  0.500  0.375
Mg  0.750  0.500  0.625
Hg  0.250  0.500  0.858
Hg  0.750  0.500  0.142

Output
* formation energy: -1.2 eV/f.u.
* DFT total energy: -3.079 eV per atom
* volume: 26.6 Å³/atom

***

(14)
A plane-wave DFT calculation with PBE was carried out for an optimized crystal structure of ScTl2Ir.

Cell: 3.622 3.681 7.388 Å, 90.00 103.89 90.00°
Element x y z (fractional)
Sc  0.000  0.000  0.000
Tl  0.295  0.000  0.591
Tl  0.650  0.500  0.300
Ir  0.453  0.500  0.903

Output
* formation energy: -0.7 eV/f.u.
* DFT total energy: -5.165 eV per atom
* volume: 23.9 Å³/atom

***

(15)
A plane-wave DFT calculation with PBE was carried out for an optimized crystal structure of SmIn2Sn.

Cell: 4.654 4.654 4.802 Å, 90.00 90.00 90.00°
Element x y z (fractional)
Sm  0.000  0.000  0.000
In  0.000  0.500  0.500
In  0.500  0.000  0.500
Sn  0.500  0.500  0.000

Output
* formation energy: -1.9 eV/f.u.
* DFT total energy: -4.024 eV per atom
* volume: 26.0 Å³/atom

***

(16)
A plane-wave DFT calculation with PBE was carried out for an optimized crystal structure of TeMo2Br.

Cell: 4.622 4.622 7.344 Å, 98.15 98.15 42.70°
Element x y z (fractional)
Te  0.000  0.000  0.000
Mo  0.458  0.458  0.304
Mo  0.754  0.754  0.212
Br  0.206  0.206  0.527

Output
* DFT total energy: -6.302 eV per atom
* volume: 26.3 Å³/atom
* uncorrected formation energy: 122 kJ/mol of formula units

***

(17)
A plane-wave DFT calculation with PBE was carried out for an optimized crystal structure of La3Ga4Au4.

Cell: 13.923 13.923 13.923 Å, 162.52 161.54 25.52°
Element x y z (fractional)
La  0.000  0.000  0.000
La  0.350  0.850  0.500
La  0.650  0.150  0.500
Ga  0.098  0.598  0.500
Ga  0.251  0.251  0.000
Ga  0.749  0.749  0.000
Ga  0.902  0.402  0.500
Au  0.193  0.693  0.500
Au  0.448  0.448  0.000
Au  0.552  0.552  0.000
Au  0.807  0.307  0.500

Output
* formation energy: -8.1 eV/f.u.
* DFT total energy: -4.369 eV per atom
* volume: 23.3 Å³/atom

***

(18)
A plane-wave DFT calculation with PBE was carried out for an optimized crystal structure of TlO8.

Cell: 6.203 6.203 6.203 Å, 102.27 102.27 125.11°
Element x y z (fractional)
Tl  0.000  0.000  0.000
O  0.000  0.420  0.420
O  0.000  0.580  0.580
O  0.398  0.398  0.797
O  0.398  0.602  0.000
O  0.420  0.000  0.420
O  0.580  0.000  0.580
O  0.602  0.398  0.000
O  0.602  0.602  0.203

Output
* DFT total energy: -4.246 eV per atom
* volume: 19.3 Å³/atom
* uncorrected formation energy: 368 kJ/mol of formula units

***

(19)
A plane-wave DFT calculation with PBE was carried out for an optimized crystal structure of Tb6TlSi2Te3.

Cell: 9.703 9.703 8.788 Å, 104.40 104.40 25.28°
Element x y z (fractional)
Tb  0.009  0.009  0.257
Tb  0.326  0.326  0.435
Tb  0.331  0.331  0.893
Tb  0.669  0.669  0.107
Tb  0.674  0.674  0.565
Tb  0.991  0.991  0.743
Tl  0.500  0.500  0.000
Si  0.167  0.167  0.334
Si  0.833  0.833  0.666
Te  0.164  0.164  0.831
Te  0.500  0.500  0.500
Te  0.836  0.836  0.169

Output
* DFT total energy: -5.195 eV per atom
* volume: 28.5 Å³/atom
* uncorrected formation energy: -1150 kJ/mol of formula units

***

(20)
A plane-wave DFT calculation with PBE was carried out for an optimized crystal structure of K3SrZr.

Cell: 7.215 7.215 7.215 Å, 90.00 90.00 90.00°
Element x y z (fractional)
K  0.000  0.000  0.500
K  0.000  0.500  0.000
K  0.500  0.000  0.000
Sr  0.000  0.000  0.000
Zr  0.500  0.500  0.500

Output
* formation energy: 7.0 eV/f.u.
* DFT total energy: -1.312 eV per atom
* volume: 75.1 Å³/atom

***

(21)
A plane-wave DFT calculation with PBE was carried out for an optimized crystal structure of HfV3Ir.

Cell: 4.611 4.611 4.611 Å, 90.00 90.00 90.00°
Element x y z (fractional)
Hf  0.000  0.000  0.000
V  0.000  0.500  0.500
V  0.500  0.000  0.500
V  0.500  0.500  0.000
Ir  0.500  0.500  0.500

Output
* formation energy: 3.9 eV/f.u.
* DFT total energy: -8.455 eV per atom
* volume: 19.6 Å³/atom

***

(22)
A plane-wave DFT calculation with PBE was carried out for an optimized crystal structure of Pm6Ge5Au.

Cell: 7.606 7.606 7.127 Å, 100.26 100.26 119.93°
Element x y z (fractional)
Pm  0.071  0.414  0.240
Pm  0.244  0.244  0.751
Pm  0.414  0.071  0.240
Pm  0.586  0.929  0.760
Pm  0.756  0.756  0.249
Pm  0.929  0.586  0.760
Ge  0.000  0.000  0.000
Ge  0.167  0.833  0.500
Ge  0.340  0.660  0.000
Ge  0.660  0.340  0.000
Ge  0.833  0.167  0.500
Au  0.500  0.500  0.500

Output
* formation energy: -8.1 eV/f.u.
* DFT total energy: -5.248 eV per atom
* volume: 27.8 Å³/atom

***

(23)
A plane-wave DFT calculation with PBE was carried out for an optimized crystal structure of Zr2Cd2Sn.

Cell: 7.281 7.281 4.288 Å, 90.00 90.00 90.00°
Element x y z (fractional)
Zr  0.169  0.331  0.000
Zr  0.331  0.831  0.000
Zr  0.669  0.169  0.000
Zr  0.831  0.669  0.000
Cd  0.131  0.631  0.500
Cd  0.369  0.131  0.500
Cd  0.631  0.869  0.500
Cd  0.869  0.369  0.500
Sn  0.000  0.000  0.500
Sn  0.500  0.500  0.500

Output
* formation energy: 0.0 eV/f.u.
* DFT total energy: -4.587 eV per atom
* volume: 22.7 Å³/atom

***

(24)
A plane-wave DFT calculation with PBE was carried out for an optimized crystal structure of Ce2SnBi.

Cell: 3.669 3.669 8.712 Å, 90.00 90.00 90.00°
Element x y z (fractional)
Ce  0.000  0.000  0.246
Ce  0.000  0.000  0.754
Sn  0.500  0.500  0.000
Bi  0.500  0.500  0.500

Output
* formation energy: -2.3 eV/f.u.
* DFT total energy: -5.519 eV per atom
* volume: 29.3 Å³/atom

***

(25)
A plane-wave DFT calculation with PBE was carried out for an optimized crystal structure of Ba2GeO4F.

Cell: 5.036 5.036 9.624 Å, 114.17 114.17 40.24°
Element x y z (fractional)
Ba  0.142  0.142  0.240
Ba  0.858  0.858  0.760
Ge  0.000  0.000  0.500
O  0.126  0.126  0.702
O  0.388  0.388  0.542
O  0.612  0.612  0.458
O  0.874  0.874  0.298
F  0.500  0.500  0.000

Output
* DFT total energy: -5.918 eV per atom
* volume: 17.7 Å³/atom
* uncorrected formation energy: -1657 kJ/mol of formula units

***

(26)
A plane-wave DFT calculation with PBE was carried out for an optimized crystal structure of Na2TlHgBi.

Cell: 5.989 5.989 6.344 Å, 90.00 90.00 90.00°
Element x y z (fractional)
Na  0.000  0.500  0.000
Na  0.500  0.000  0.000
Tl  0.000  0.000  0.500
Hg  0.500  0.500  0.500
Bi  0.000  0.000  0.000

Output
* formation energy: -0.1 eV/f.u.
* DFT total energy: -1.861 eV per atom
* volume: 45.5 Å³/atom